1.
Below is Dy2Tl3Ag after structural relaxation, with properties calculated at the PBE level.

Cell lengths 10.0625, 9.3902, 6.1322 Å; angles 77.70, 65.75, 36.54 degrees
Element x y z (fractional)
Dy  0.2495  0.7505  0.7505
Dy  0.2500  0.2500  0.2500
Dy  0.7500  0.7500  0.7500
Dy  0.7505  0.2495  0.2495
Tl  0.1552  0.6722  0.3278
Tl  0.3278  0.8448  0.1552
Tl  0.3291  0.3291  0.6709
Tl  0.6709  0.6709  0.3291
Tl  0.6722  0.1552  0.8448
Tl  0.8448  0.3278  0.6722
Ag  0.1677  0.1677  0.8323
Ag  0.8323  0.8323  0.1677

Calculated values
- Energy of formation: -0.203 eV/atom
- Spin magnetization: 0.0 Bohr magnetons per cell


2.
Below is CdInSn6 after structural relaxation, with properties calculated at the PBE level.

Cell lengths 4.6786, 4.6786, 9.9298 Å; angles 90.00, 90.00, 90.00 degrees
Element x y z (fractional)
Cd  0.0000  0.0000  0.0000
In  0.0000  0.0000  0.5000
Sn  0.0000  0.5000  0.2463
Sn  0.0000  0.5000  0.7537
Sn  0.5000  0.0000  0.2463
Sn  0.5000  0.0000  0.7537
Sn  0.5000  0.5000  0.0000
Sn  0.5000  0.5000  0.5000

Calculated values
- Energy of formation: 0.066 eV/atom
- E above lowest polymorph: 11 meV per atom
- Spin magnetization: 0.0 Bohr magnetons per cell


3.
Below is Zn11Hg after structural relaxation, with properties calculated at the PBE level.

Cell lengths 8.3988, 8.3988, 8.3988 Å; angles 99.45, 99.45, 132.18 degrees
Element x y z (fractional)
Zn  0.0000  0.0000  0.0000
Zn  0.0000  0.0000  0.5000
Zn  0.0000  0.5000  0.0000
Zn  0.1250  0.8750  0.2500
Zn  0.1342  0.5572  0.3335
Zn  0.1342  0.8008  0.5770
Zn  0.1992  0.2763  0.3335
Zn  0.1992  0.8658  0.9230
Zn  0.2763  0.1992  0.8335
Zn  0.2763  0.4428  0.0770
Zn  0.4428  0.2763  0.5770
Zn  0.4428  0.8658  0.1665
Zn  0.5000  0.0000  0.5000
Zn  0.5572  0.1342  0.8335
Zn  0.5572  0.7237  0.4230
Zn  0.7237  0.5572  0.9230
Zn  0.7237  0.8008  0.1665
Zn  0.8008  0.1342  0.0770
Zn  0.8008  0.7237  0.6665
Zn  0.8658  0.1992  0.4230
Zn  0.8658  0.4428  0.6665
Zn  0.8750  0.1250  0.7500
Hg  0.3750  0.6250  0.7500
Hg  0.6250  0.3750  0.2500

Calculated values
- Energy of formation: 0.063 eV/atom
- Spin magnetization: 0.0 Bohr magnetons per cell


4.
Below is YTaSb2I after structural relaxation, with properties calculated at the PBE level.

Cell lengths 5.7740, 5.7740, 5.6944 Å; angles 90.00, 90.00, 90.00 degrees
Element x y z (fractional)
Y  0.0000  0.0000  0.0000
Ta  0.5000  0.5000  0.5000
Sb  0.0000  0.5000  0.0000
Sb  0.5000  0.0000  0.0000
I  0.0000  0.0000  0.5000

Calculated values
- E above lowest polymorph: 795 meV per atom
- Spin magnetization: 2.7 Bohr magnetons per cell
- Formation energy without anion corrections: 1.089 eV per atom


5.
Below is LaPrSiHg after structural relaxation, with properties calculated at the PBE level.

Cell lengths 7.5686, 7.5686, 7.5686 Å; angles 90.00, 90.00, 90.00 degrees
Element x y z (fractional)
La  0.0000  0.0000  0.0000
La  0.0000  0.5000  0.5000
La  0.5000  0.0000  0.5000
La  0.5000  0.5000  0.0000
Pr  0.0000  0.0000  0.5000
Pr  0.0000  0.5000  0.0000
Pr  0.5000  0.0000  0.0000
Pr  0.5000  0.5000  0.5000
Si  0.2500  0.2500  0.2500
Si  0.2500  0.7500  0.7500
Si  0.7500  0.2500  0.7500
Si  0.7500  0.7500  0.2500
Hg  0.2500  0.2500  0.7500
Hg  0.2500  0.7500  0.2500
Hg  0.7500  0.2500  0.2500
Hg  0.7500  0.7500  0.7500

Calculated values
- Spin magnetization: 0.0 Bohr magnetons per cell
- Formation energy without anion corrections: -0.479 eV per atom


6.
Below is FeAgPt2 after structural relaxation, with properties calculated at the PBE level.

Cell lengths 2.7755, 2.7755, 27.5856 Å; angles 90.00, 90.00, 120.00 degrees
Element x y z (fractional)
Fe  0.0000  0.0000  0.0000
Fe  0.3333  0.6667  0.6667
Fe  0.6667  0.3333  0.3333
Ag  0.0000  0.0000  0.2504
Ag  0.3333  0.6667  0.9170
Ag  0.6667  0.3333  0.5837
Pt  0.0000  0.0000  0.4964
Pt  0.0000  0.0000  0.7419
Pt  0.3333  0.6667  0.1631
Pt  0.3333  0.6667  0.4086
Pt  0.6667  0.3333  0.0753
Pt  0.6667  0.3333  0.8297

Calculated values
- Energy of formation: -0.012 eV/atom
- Spin magnetization: 9.7 Bohr magnetons per cell


7.
Below is Al2TeSe after structural relaxation, with properties calculated at the PBE level.

Cell lengths 3.8042, 7.3405, 7.6213 Å; angles 90.00, 90.00, 90.00 degrees
Element x y z (fractional)
Al  0.0000  0.0000  0.2368
Al  0.0000  0.0000  0.7632
Al  0.5000  0.5000  0.2368
Al  0.5000  0.5000  0.7632
Te  0.0000  0.5000  0.5000
Te  0.5000  0.0000  0.5000
Se  0.0000  0.5000  0.0000
Se  0.5000  0.0000  0.0000

Calculated values
- E above lowest polymorph: 301 meV per atom
- Spin magnetization: 0.0 Bohr magnetons per cell
- Formation energy without anion corrections: -0.049 eV per atom


8.
Below is Mg2PaSeO8 after structural relaxation, with properties calculated at the PBE level.

Cell lengths 4.6578, 4.6578, 6.5502 Å; angles 90.00, 90.00, 91.33 degrees
Element x y z (fractional)
Mg  0.0000  0.0000  0.2325
Mg  0.0000  0.0000  0.7675
Pa  0.5000  0.5000  0.5000
Se  0.5000  0.5000  0.0000
O  0.1898  0.1898  0.5000
O  0.2250  0.2250  0.0000
O  0.3130  0.6870  0.2059
O  0.3130  0.6870  0.7941
O  0.6870  0.3130  0.2059
O  0.6870  0.3130  0.7941
O  0.7750  0.7750  0.0000
O  0.8102  0.8102  0.5000

Calculated values
- Spin magnetization: 0.9 Bohr magnetons per cell
- Formation energy without anion corrections: -2.012 eV per atom


Q: The highest spin magnetization belongs to which entry?
A: FeAgPt2


Q: Look up the spin magnetization of the seventh one.
A: 0.0 Bohr magnetons per cell